# 1
PBE AlHg2Sb, relaxed; SG = P4mm; D(E_F) = 1.73 states/eV per cell; V = 97.21 Å³ per cell; distance to the lowest polymorph of the same formula = 0.0890 eV per atom
1.0
3.2426 0.0000 0.0000
0.0000 3.2426 0.0000
0.0000 0.0000 9.2448
Al Hg Sb
1 2 1
direct
0.0000 0.0000 0.0000
0.0000 0.0000 0.4706
0.5000 0.5000 0.2070
0.5000 0.5000 0.7722

=====

# 2
PBE ZnSn2IrBr, relaxed; SG = P4/mmm; D(E_F) = 0.78 states/eV per cell; VASP energy = -4.230 eV/atom; V = 130.44 Å³ per cell
1.0
5.1121 0.0000 0.0000
0.0000 5.1121 0.0000
0.0000 0.0000 4.9912
Zn Sn Ir Br
1 2 1 1
direct
0.0000 0.0000 0.0000
0.0000 0.5000 0.5000
0.5000 0.0000 0.5000
0.0000 0.0000 0.5000
0.5000 0.5000 0.0000

=====

# 3
PBE Nd3Dy4Ho5, relaxed; ΔE_f = 0.24 eV per atom; SG = C2/m; D(E_F) = 19.09 states/eV per cell; V = 394.11 Å³ per cell; distance to the lowest polymorph of the same formula = 0.2179 eV per atom
1.0
7.9945 -2.9595 0.0000
7.9945 2.9595 0.0000
-4.0802 0.0000 8.3289
Nd Dy Ho
3 4 5
direct
0.0000 0.0000 0.0000
0.2914 0.2914 0.7691
0.7086 0.7086 0.2309
0.2911 0.2911 0.1228
0.4180 0.4180 0.5579
0.5820 0.5820 0.4421
0.7089 0.7089 0.8772
0.0732 0.0732 0.6965
0.1723 0.1723 0.3881
0.5000 0.5000 0.0000
0.8277 0.8277 0.6119
0.9268 0.9268 0.3035

=====

# 4
PBE Pm8Y2Cd, relaxed; ΔE_f = -0.02 eV per atom; SG = C2/m; D(E_F) = 15.43 states/eV per cell; V = 359.81 Å³ per cell
1.0
9.1457 -2.5385 0.0000
9.1457 2.5385 0.0000
-2.1464 0.0000 7.7490
Pm Y Cd
8 2 1
direct
0.0451 0.0451 0.2236
0.1355 0.1355 0.6782
0.3197 0.3197 0.5903
0.4103 0.4103 0.0562
0.5897 0.5897 0.9438
0.6803 0.6803 0.4097
0.8645 0.8645 0.3218
0.9549 0.9549 0.7764
0.2243 0.2243 0.1344
0.7757 0.7757 0.8656
0.5000 0.5000 0.5000

=====

# 5
PBE BeAl2As, relaxed; ΔE_f = 0.08 eV per atom; SG = P1; D(E_F) = 0.87 states/eV per cell; V = 70.05 Å³ per cell; distance to the lowest polymorph of the same formula = 0.0000 eV per atom
1.0
3.5951 0.0000 0.0000
-0.1094 3.6678 0.0000
-1.7401 -1.8209 5.3127
Be Al As
1 2 1
direct
0.0000 0.0000 0.0000
0.4188 0.4186 0.8351
0.7845 0.7795 0.5638
0.6192 0.1172 0.2388

=====

# 6
PBE Sr2Mg6AgRh, relaxed; ΔE_f = -0.15 eV per atom; SG = Immm; D(E_F) = 7.23 states/eV per cell; V = 276.44 Å³ per cell
1.0
-3.6554 3.6654 5.1581
3.6554 -3.6654 5.1581
3.6554 3.6654 -5.1581
Sr Mg Ag Rh
2 6 1 1
direct
0.2501 0.2501 0.0000
0.7499 0.7499 0.0000
0.2566 0.2432 0.4998
0.2566 0.7568 0.0134
0.2566 0.7566 0.5000
0.7434 0.2434 0.5000
0.7434 0.2432 0.9866
0.7434 0.7568 0.5002
0.0000 0.5000 0.5000
0.5000 0.0000 0.5000

=====

# 7
PBE HoPaSb2, relaxed; SG = R-3m; D(E_F) = 5.59 states/eV per cell; V = 105.12 Å³ per cell; distance to the lowest polymorph of the same formula = 0.1653 eV per atom
1.0
2.6434 1.5262 4.3428
-2.6434 1.5262 4.3428
0.0000 -3.0523 4.3428
Ho Pa Sb
1 1 2
direct
0.0000 0.0000 0.0000
0.5000 0.5000 0.5000
0.2503 0.2503 0.2503
0.7497 0.7497 0.7497

=====

# 8
PBE LuPaGa4, relaxed; ΔE_f = -0.33 eV per atom; SG = F-43m; D(E_F) = 4.46 states/eV per cell; V = 117.19 Å³ per cell
1.0
0.0000 3.8841 3.8841
3.8841 0.0000 3.8841
3.8841 3.8841 0.0000
Lu Pa Ga
1 1 4
direct
0.0000 0.0000 0.0000
0.2500 0.2500 0.2500
0.1256 0.6248 0.6248
0.6248 0.1256 0.6248
0.6248 0.6248 0.1256
0.6248 0.6248 0.6248